The following is a DFT calculation (PBE) of a geometry-optimized DyY2Rh structure.

Results
Offset from the most stable computed form = 406 meV/atom
N(E_F) = 1.435 states/eV/atom
Space group = R-3m
Electronic total energy = -25.33 eV/cell

abc: 3.625 3.625 10.749
angles: 80.29 80.29 60.00
Each line ends with the local moment (μB).
Element x y z (fractional)
Y: 0.110 0.110 0.670  0.03
Y: 0.890 0.890 0.330  0.03
Rh: 0.500 0.500 0.500  0.00
Dy: 0.000 0.000 0.000  0.23

The following is a DFT calculation (PBE) of a geometry-optimized Dy3YRh4 structure.

Results
N(E_F) = 0.533 states/eV/atom
Space group = P4/mmm
Electronic total energy = -113.22 eV/cell

abc: 4.882 6.758 9.765
angles: 90.00 90.00 90.00
Element x y z (fractional)
Y: 0.000 0.500 0.000
Y: 0.000 0.500 0.500
Rh: 0.500 0.751 0.000
Rh: 0.500 0.751 0.500
Rh: 0.500 0.249 0.000
Rh: 0.500 0.249 0.500
Rh: 0.000 0.751 0.750
Rh: 0.000 0.751 0.250
Rh: 0.000 0.249 0.250
Rh: 0.000 0.249 0.750
Dy: 0.000 0.000 0.000
Dy: 0.000 0.000 0.500
Dy: 0.500 0.000 0.750
Dy: 0.500 0.000 0.250
Dy: 0.500 0.500 0.750
Dy: 0.500 0.500 0.250

The following is a DFT calculation (PBE) of a geometry-optimized Dy2YRh structure.

Results
Offset from the most stable computed form = 124 meV/atom
N(E_F) = 1.373 states/eV/atom
Space group = P4/mmm
Electronic total energy = -24.62 eV/cell

abc: 3.507 3.507 8.609
angles: 90.00 90.00 90.00
Element x y z (fractional)
Y: 0.500 0.500 0.500
Rh: 0.500 0.500 0.000
Dy: 0.000 0.000 0.812
Dy: 0.000 0.000 0.188